# 1
A relaxed CuRh crystal, computed with PBE.

Structure (CIF):
```
data_CuRh
_cell_length_a 2.7172
_cell_length_b 2.7172
_cell_length_c 7.1700
_cell_angle_alpha 90.00
_cell_angle_beta 90.00
_cell_angle_gamma 90.00
_symmetry_space_group_name_H-M 'P 4/n m m'
_symmetry_Int_Tables_number 129
loop_
_symmetry_equiv_pos_as_xyz
'x,y,z'
'-x,-y,-z'
'-y+1/2,x,z'
'y+1/2,-x,-z'
'-x+1/2,-y+1/2,z'
'x+1/2,y+1/2,-z'
'y,-x+1/2,z'
'-y,x+1/2,-z'
'x+1/2,-y,-z'
'-x+1/2,y,z'
'-y,-x,-z'
'y,x,z'
'-x,y+1/2,-z'
'x,-y+1/2,z'
'y+1/2,x+1/2,-z'
'-y+1/2,-x+1/2,z'
loop_
_atom_site_label
_atom_site_fract_x
_atom_site_fract_y
_atom_site_fract_z
Cu1 0.2500 0.2500 0.1148
Rh1 0.2500 0.2500 0.6284
```

Summary:
E (eV per cell): -22.73
Spin magnetization (μB per atom): 0.000

# 2
A relaxed RuSeBr2 crystal, computed with PBE.

Structure (CIF):
```
data_RuSeBr2
_cell_length_a 9.7149
_cell_length_b 9.7149
_cell_length_c 4.6838
_cell_angle_alpha 90.00
_cell_angle_beta 90.00
_cell_angle_gamma 90.00
_symmetry_space_group_name_H-M 'I -4 2 d'
_symmetry_Int_Tables_number 122
_symmetry_space_group_name_Hall 'I -4 2bw'
loop_
_atom_site_label
_atom_site_fract_x
_atom_site_fract_y
_atom_site_fract_z
Ru1 0.0000 0.0000 0.0000
Se1 0.0000 0.0000 0.5000
Br1 0.0895 0.2500 0.1250
```

Summary:
ΔE_f (raw) (kJ/mol of formula units): 62
Spin magnetization (μB per atom): 0.150

# 3
A relaxed Pr5TlOs2 crystal, computed with PBE.

Structure (CIF):
```
data_Pr5TlOs2
_cell_length_a 7.9549
_cell_length_b 7.9549
_cell_length_c 14.7712
_cell_angle_alpha 90.00
_cell_angle_beta 90.00
_cell_angle_gamma 90.00
_symmetry_space_group_name_H-M 'I 4/m c m'
_symmetry_Int_Tables_number 140
_symmetry_space_group_name_Hall '-I 4 2c'
loop_
_atom_site_label
_atom_site_fract_x
_atom_site_fract_y
_atom_site_fract_z
Pr1 0.0000 0.0000 0.0000
Pr2 0.1784 0.3216 0.1319
Tl1 0.0000 0.0000 0.2500
Os1 0.1138 0.3862 0.5000
```

Summary:
E (eV per cell): -200.20
Spin magnetization (μB per atom): 0.000

# 4
A relaxed FeAgSe crystal, computed with PBE.

Structure (CIF):
```
data_FeAgSe
_cell_length_a 4.0826
_cell_length_b 4.0826
_cell_length_c 3.7712
_cell_angle_alpha 90.00
_cell_angle_beta 90.00
_cell_angle_gamma 120.00
_symmetry_space_group_name_H-M 'P -6 m 2'
_symmetry_Int_Tables_number 187
_symmetry_space_group_name_Hall 'P -6 2'
loop_
_atom_site_label
_atom_site_fract_x
_atom_site_fract_y
_atom_site_fract_z
Fe1 0.0000 0.0000 0.0000
Ag1 0.3333 0.6667 0.5000
Se1 0.6667 0.3333 0.0000
```

Summary:
ΔE_f (raw) (kJ/mol of formula units): 66
Spin magnetization (μB per atom): 0.927

# 5
A relaxed SrLi2Pb crystal, computed with PBE.

Structure (CIF):
```
data_SrLi2Pb
_cell_length_a 3.9711
_cell_length_b 5.0078
_cell_length_c 6.2502
_cell_angle_alpha 90.00
_cell_angle_beta 108.29
_cell_angle_gamma 90.00
_symmetry_space_group_name_H-M 'P 1 m 1'
_symmetry_Int_Tables_number 6
_symmetry_space_group_name_Hall 'P -2y'
loop_
_atom_site_label
_atom_site_fract_x
_atom_site_fract_y
_atom_site_fract_z
Sr1 0.0000 0.0000 0.0000
Li1 0.2821 0.0000 0.5547
Li2 0.7012 0.5000 0.3957
Pb1 0.3898 0.5000 0.7773
```

Summary:
E (eV per cell): -10.14
Spin magnetization (μB per atom): 0.085

# 6
A relaxed MnCuPH crystal, computed with PBE.

Structure (CIF):
```
data_MnCuPH
_cell_length_a 4.2026
_cell_length_b 4.2938
_cell_length_c 4.6813
_cell_angle_alpha 90.00
_cell_angle_beta 105.39
_cell_angle_gamma 90.00
_symmetry_space_group_name_H-M 'C 1 m 1'
_symmetry_Int_Tables_number 8
_symmetry_space_group_name_Hall 'C -2y'
loop_
_atom_site_label
_atom_site_fract_x
_atom_site_fract_y
_atom_site_fract_z
Mn1 0.0000 0.0000 0.0000
Cu1 0.0827 0.5000 0.3772
P1 0.4478 0.0000 0.8220
H1 0.4682 0.5000 0.6513
```

Summary:
E (eV per cell): -43.13
Spin magnetization (μB per atom): 0.000